CaGdHg2: relaxed, PBE.

Its formation energy is -540.0 meV per atom. For the magnetization, the calculation gives 7.20 μB/f.u.

The space group is P4/mmm (No. 123) and the conventional cell measures 5.344, 5.344 and 3.747 Å, with angles of 90.00, 90.00 and 90.00 degrees. The asymmetric unit holds Ca at (0.000, 0.000, 0.000), Gd at (0.500, 0.500, 0.000) and Hg at (0.000, 0.500, 0.500).